(1)
VASP calculation (PBE) on a relaxed structure of TaInW2.

## Properties
* size of the total moment: 0.00 μB/atom
* density: 13.9 g cm⁻³
* DFT formation energy: 1.161 eV per atom

Unit cell a=7.5425 b=7.5425 c=5.5551 alpha=90.00 beta=90.00 gamma=90.00
Space group I-42d (No. 122)
One atom of each set of equivalent atoms:
Ta: 0.0000 0.0000 0.0000 [4 per cell]
In: 0.0000 0.0000 0.5000 [4 per cell]
W: 0.2237 0.2500 0.1250 [8 per cell]



(2)
VASP calculation (PBE) on a relaxed structure of CeAg6.

## Properties
* size of the total moment: 0.16 μB/atom
* density: 9.0 g cm⁻³
* DFT formation energy: -0.063 eV per atom
* energy above the lowest structure with this stoichiometry: 0 kJ/mol of formula units

Unit cell a=8.9873 b=5.7041 c=11.3120 alpha=90.00 beta=90.00 gamma=90.00
Space group Pnma (No. 62)
One atom of each set of equivalent atoms:
Ce: 0.2420 0.2500 0.0669 [4 per cell]
Ag: 0.0621 0.0083 0.3077 [8 per cell]
Ag: 0.0648 0.7500 0.0873 [4 per cell]
Ag: 0.1044 0.2500 0.5191 [4 per cell]
Ag: 0.1462 0.7500 0.8512 [4 per cell]
Ag: 0.1854 0.2500 0.7629 [4 per cell]



(3)
VASP calculation (PBE) on a relaxed structure of ZnAg2Au.

## Properties
* size of the total moment: 0.00 μB/atom
* density: 11.5 g cm⁻³
* DFT formation energy: -0.033 eV per atom

Unit cell a=5.6090 b=9.6938 c=2.8184 alpha=90.00 beta=115.83 gamma=90.00
Space group C2/m (No. 12)
One atom of each set of equivalent atoms:
Zn: 0.0000 0.0000 0.0000 [2 per cell]
Ag: 0.2500 0.2500 0.5000 [4 per cell]
Au: 0.0000 0.5000 0.0000 [2 per cell]



(4)
VASP calculation (PBE) on a relaxed structure of Ca2CrSe.

## Properties
* size of the total moment: 1.14 μB/atom
* density: 3.3 g cm⁻³
* formation energy (no corrections): -184 kJ/mol of formula units

Unit cell a=4.2408 b=4.2693 c=11.5607 alpha=90.00 beta=90.00 gamma=90.00
Space group Amm2 (No. 38)
One atom of each set of equivalent atoms:
Ca: 0.0000 0.0000 0.0000 [2 per cell]
Ca: 0.5000 0.0000 0.2915 [2 per cell]
Cr: 0.0000 0.0000 0.7151 [2 per cell]
Se: 0.5000 0.0000 0.5694 [2 per cell]



The evaluated V for the records listed, in turn: 316; 580; 138; 209 Å³/cell.